Below is an optimized crystal structure of ZnCrHg2, with properties calculated at the PBE level.

Cell lengths 4.7620, 4.7620, 4.7620 Å; angles 60.00, 60.00, 60.00 degrees
With the nearest neighbours (Å) after each atom.
Fractional coordinates of all 4 atoms:
Cr 0.5000 0.5000 0.5000  4 Zn 2.92, 4 Hg 2.92
Hg 0.0000 0.0000 0.0000  4 Hg 2.92, 4 Zn 2.92
Hg 0.2500 0.2500 0.2500  4 Cr 2.92, 4 Hg 2.92
Zn 0.7500 0.7500 0.7500  4 Hg 2.92, 4 Cr 2.92

## Properties
E_form, kcal/mol of atoms: 8.48
Space-group type: F-43m, No. 216
Polymorph energy (0 for the lowest one), eV per atom: 0.078

Below is an optimized crystal structure of DyHg3I9, with properties calculated at the PBE level.

Cell lengths 10.6347, 11.5824, 12.7354 Å; angles 74.97, 65.32, 62.67 degrees
With the nearest neighbours (Å) after each atom.
Fractional coordinates of all 26 atoms:
Dy 0.0121 0.5046 0.0077  6 I 3.01-3.14
Dy 0.4756 0.0046 0.5077  6 I 3.01-3.14
Hg 0.8119 0.5673 0.6710  4 I 2.83-2.95
Hg 0.9497 0.0673 0.1710  4 I 2.83-2.95
Hg 0.0030 0.9419 0.8240  4 I 2.85-2.90
Hg 0.2311 0.4419 0.3240  4 I 2.85-2.90
Hg 0.5796 0.2482 0.7288  4 I 2.83-2.97
Hg 0.4434 0.7482 0.2288  4 I 2.83-2.97
I 0.3249 0.1669 0.3295  1 Hg 2.86, 1 Dy 3.05
I 0.1788 0.6669 0.8295  1 Hg 2.86, 1 Dy 3.05
I 0.3404 0.2859 0.9447  1 Hg 2.83, 1 Dy 3.14
I 0.4291 0.7859 0.4447  1 Hg 2.83, 1 Dy 3.14
I 0.1762 0.0967 0.7079  1 Hg 2.86, 1 Dy 3.05
I 0.0192 0.5967 0.2079  1 Hg 2.86, 1 Dy 3.05
I 0.7293 0.7533 0.0473  1 Hg 2.97, 1 Dy 3.02
I 0.4701 0.2533 0.5473  1 Hg 2.97, 1 Dy 3.02
I 0.8094 0.9258 0.3815  1 Hg 2.95, 1 Dy 3.01
I 0.8833 0.4258 0.8815  1 Hg 2.95, 1 Dy 3.01
I 0.5461 0.8015 0.7099  1 Hg 2.84, 1 Dy 3.09
I 0.9425 0.3015 0.2099  1 Hg 2.84, 1 Dy 3.09
I 0.5031 0.4840 0.2110  2 Hg 2.85-2.88
I 0.8019 0.9840 0.7110  2 Hg 2.85-2.88
I 0.7486 0.4001 0.5854  2 Hg 2.86-2.88
I 0.2660 0.9001 0.0854  2 Hg 2.86-2.88
I 0.7964 0.0813 0.0292  2 Hg 2.83-2.90
I 0.0931 0.5813 0.5292  2 Hg 2.83-2.90

## Properties
Energy relative to the elements, uncorrected, eV/atom: -0.58
Space-group type: Cc, No. 9

Below is an optimized crystal structure of PmAs3Rh3, with properties calculated at the PBE level.

Cell lengths 6.6966, 6.6966, 6.6966 Å; angles 90.00, 90.00, 90.00 degrees
With the nearest neighbours (Å) after each atom.
Fractional coordinates of all 14 atoms:
As 0.0000 0.2500 0.5000  4 Rh 2.37
As 0.0000 0.7500 0.5000  4 Rh 2.37
As 0.5000 0.0000 0.7500  4 Rh 2.37
As 0.7500 0.5000 0.0000  4 Rh 2.37
As 0.5000 0.0000 0.2500  4 Rh 2.37
As 0.2500 0.5000 0.0000  4 Rh 2.37
Rh 0.2500 0.0000 0.5000  4 As 2.37
Rh 0.0000 0.5000 0.2500  4 As 2.37
Rh 0.5000 0.7500 0.0000  4 As 2.37
Rh 0.7500 0.0000 0.5000  4 As 2.37
Rh 0.0000 0.5000 0.7500  4 As 2.37
Rh 0.5000 0.2500 0.0000  4 As 2.37
Pm 0.5000 0.5000 0.5000  12 As 3.74, 12 Rh 3.74
Pm 0.0000 0.0000 0.0000  12 As 3.74, 12 Rh 3.74

## Properties
E_form, kcal/mol of atoms: -9.39
Space-group type: Pm-3n, No. 223

Below is an optimized crystal structure of Pr3In2Sn, with properties calculated at the PBE level.

Cell lengths 5.5184, 5.5184, 6.7841 Å; angles 90.00, 90.00, 120.00 degrees
With the nearest neighbours (Å) after each atom.
Fractional coordinates of all 6 atoms:
Pr 0.0000 0.0000 0.5000  6 In 3.34, 2 Sn 3.39
Pr 0.6667 0.3333 0.8521  3 Sn 3.34, 5 In 3.38-3.48
Pr 0.3333 0.6667 0.1479  3 Sn 3.34, 5 In 3.38-3.48
In 0.6667 0.3333 0.3544  8 Pr 3.34-3.48
In 0.3333 0.6667 0.6456  8 Pr 3.34-3.48
Sn 0.0000 0.0000 0.0000  8 Pr 3.34-3.39

## Properties
E_form, kcal/mol of atoms: -12.64
Space-group type: P-3m1, No. 164
Polymorph energy (0 for the lowest one), eV per atom: 0.000

Below is an optimized crystal structure of DyHoTm2Sc, with properties calculated at the PBE level.

Cell lengths 7.0215, 8.0775, 6.8585 Å; angles 126.08, 90.00, 90.00 degrees
With the nearest neighbours (Å) after each atom.
Fractional coordinates of all 10 atoms:
Dy 0.2500 0.7300 0.4599  1 Sc 2.99
Dy 0.7500 0.2700 0.5401  1 Sc 2.99
Ho 0.7500 0.7295 0.4591  1 Sc 3.00
Ho 0.2500 0.2705 0.5409  1 Sc 3.00
Tm 0.5000 0.3035 0.0000  2 Sc 3.02, 1 Tm 3.17
Tm 0.0000 0.6965 0.0000  2 Sc 3.02, 1 Tm 3.17
Tm 0.5000 0.6965 0.0000  2 Sc 3.02, 1 Tm 3.17
Tm 0.0000 0.3035 0.0000  2 Sc 3.02, 1 Tm 3.17
Sc 0.2500 0.9999 0.9997  1 Dy 2.99, 1 Ho 3.00, 4 Tm 3.02
Sc 0.7500 0.0001 0.0003  1 Dy 2.99, 1 Ho 3.00, 4 Tm 3.02

## Properties
E_form, kcal/mol of atoms: 8.11
Space-group type: Cmcm, No. 63

Below is an optimized crystal structure of CsK4Tl4, with properties calculated at the PBE level.

Cell lengths 7.7326, 7.7326, 13.4426 Å; angles 90.00, 90.00, 90.00 degrees
With the nearest neighbours (Å) after each atom.
Fractional coordinates of all 18 atoms:
Cs 0.0000 0.0000 0.0000  8 Tl 4.27, 4 K 4.28
Cs 0.5000 0.5000 0.5000  8 Tl 4.27, 4 K 4.28
K 0.5000 0.7640 0.7801  5 Tl 3.60-4.00, 3 K 3.65-3.96
K 0.5000 0.2360 0.7801  5 Tl 3.60-4.00, 3 K 3.65-3.96
K 0.7640 0.5000 0.2199  5 Tl 3.60-4.00, 3 K 3.65-3.96
K 0.2360 0.5000 0.2199  5 Tl 3.60-4.00, 3 K 3.65-3.96
K 0.2640 0.0000 0.2801  5 Tl 3.60-4.00, 3 K 3.65-3.96
K 0.7360 0.0000 0.2801  5 Tl 3.60-4.00, 3 K 3.65-3.96
K 0.0000 0.2640 0.7199  5 Tl 3.60-4.00, 3 K 3.65-3.96
K 0.0000 0.7360 0.7199  5 Tl 3.60-4.00, 3 K 3.65-3.96
Tl 0.2202 0.5000 0.9520  3 Tl 3.32-3.41, 1 K 3.60
Tl 0.7798 0.5000 0.9520  3 Tl 3.32-3.41, 1 K 3.60
Tl 0.5000 0.7798 0.0480  3 Tl 3.32-3.41, 1 K 3.60
Tl 0.5000 0.2202 0.0480  3 Tl 3.32-3.41, 1 K 3.60
Tl 0.0000 0.7202 0.4520  3 Tl 3.32-3.41, 1 K 3.60
Tl 0.0000 0.2798 0.4520  3 Tl 3.32-3.41, 1 K 3.60
Tl 0.2798 0.0000 0.5480  3 Tl 3.32-3.41, 1 K 3.60
Tl 0.7202 0.0000 0.5480  3 Tl 3.32-3.41, 1 K 3.60

## Properties
E_form, kcal/mol of atoms: -0.78
Space-group type: P4_2/nmc, No. 137
Polymorph energy (0 for the lowest one), eV per atom: 0.000

Below is an optimized crystal structure of La5Pr12In2, with properties calculated at the PBE level.

Cell lengths 8.4317, 10.1854, 9.1849 Å; angles 72.62, 90.00, 114.45 degrees
With the nearest neighbours (Å) after each atom.
Fractional coordinates of all 19 atoms:
La 0.2533 0.5066 0.7720  9 Pr 3.54-3.87
La 0.3140 0.6280 0.1697  2 In 3.58, 6 Pr 3.67-3.78
La 0.0000 0.0000 0.5000  10 Pr 3.49-3.87
La 0.6860 0.3720 0.8303  2 In 3.58, 6 Pr 3.67-3.78
La 0.7467 0.4934 0.2280  9 Pr 3.54-3.87
Pr 0.9461 0.8923 0.1694  3 Pr 3.10-3.37, 2 In 3.19
Pr 0.0602 0.7254 0.8661  2 Pr 3.33-3.39, 1 In 3.36, 3 La 3.54-3.71
Pr 0.6652 0.7254 0.8661  2 Pr 3.33-3.39, 1 In 3.36, 3 La 3.54-3.71
Pr 0.0813 0.6970 0.4669  3 Pr 3.37-3.77, 3 La 3.52-3.75
Pr 0.6157 0.6970 0.4669  3 Pr 3.37-3.77, 3 La 3.52-3.75
Pr 0.4790 0.9579 0.6886  3 Pr 3.29-3.39, 2 In 3.33
Pr 0.5210 0.0421 0.3114  3 Pr 3.29-3.39, 2 In 3.33
Pr 0.9187 0.3030 0.5331  3 Pr 3.37-3.77, 3 La 3.52-3.75
Pr 0.3843 0.3030 0.5331  3 Pr 3.37-3.77, 3 La 3.52-3.75
Pr 0.9398 0.2746 0.1339  2 Pr 3.33-3.39, 1 In 3.36, 3 La 3.54-3.71
Pr 0.3348 0.2746 0.1339  2 Pr 3.33-3.39, 1 In 3.36, 3 La 3.54-3.71
Pr 0.0539 0.1077 0.8306  3 Pr 3.10-3.37, 2 In 3.19
In 0.6690 0.0000 0.0000  1 In 2.85
In 0.3310 0.0000 0.0000  1 In 2.85

## Properties
E_form, kcal/mol of atoms: 0.48
Space-group type: C2/m, No. 12

Below is an optimized crystal structure of La4N2Cl3, with properties calculated at the PBE level.

Cell lengths 3.6567, 7.1754, 8.9452 Å; angles 100.16, 90.00, 104.76 degrees
With the nearest neighbours (Å) after each atom.
Fractional coordinates of all 9 atoms:
La 0.3524 0.7047 0.1071  3 N 2.42-2.60
La 0.8448 0.6896 0.7213  2 N 2.45
La 0.1552 0.3104 0.2787  2 N 2.45
La 0.6476 0.2953 0.8929  3 N 2.42-2.60
N 0.7287 0.4575 0.1561  5 La 2.42-2.60
N 0.2713 0.5425 0.8439  5 La 2.42-2.60
Cl 0.6371 0.2743 0.5379  4 La 3.00-3.15
Cl 0.0000 0.0000 0.0000  6 La 2.98-3.03
Cl 0.3629 0.7257 0.4621  4 La 3.00-3.15

## Properties
Energy relative to the elements, uncorrected, eV/atom: -1.67
Space-group type: C2/m, No. 12

Below is an optimized crystal structure of Be2RuW, with properties calculated at the PBE level.

Cell lengths 4.6880, 4.6880, 4.0389 Å; angles 64.51, 64.51, 36.08 degrees
With the nearest neighbours (Å) after each atom.
Fractional coordinates of all 4 atoms:
Ru 0.4830 0.4830 0.5163  6 Be 2.48-2.51, 4 W 2.66-2.68
W 0.2631 0.2631 0.2377  8 Be 2.50-2.78, 4 Ru 2.66-2.68
Be 0.0240 0.0240 0.9753  2 Be 2.19
Be 0.7299 0.7299 0.7707  2 Be 2.19

## Properties
E_form, kcal/mol of atoms: -1.28
Space-group type: Cm, No. 8
Polymorph energy (0 for the lowest one), eV per atom: 0.111

Below is an optimized crystal structure of Al2V7Cr3, with properties calculated at the PBE level.

Cell lengths 2.9628, 4.3304, 12.9404 Å; angles 99.63, 90.00, 90.00 degrees
With the nearest neighbours (Å) after each atom.
Fractional coordinates of all 12 atoms:
Al 0.0000 0.8380 0.6760  4 Cr 2.63, 5 V 2.63-2.83
Al 0.0000 0.1620 0.3240  4 Cr 2.63, 5 V 2.63-2.83
V 0.0000 0.4195 0.8391  4 Cr 2.47-2.53, 4 V 2.63
V 0.0000 0.7333 0.4666  2 V 2.33, 2 Cr 2.43
V 0.0000 0.0000 0.0000  4 V 2.46, 4 Cr 2.62
V 0.0000 0.5805 0.1609  4 Cr 2.47-2.53, 4 V 2.63
V 0.5000 0.0769 0.1538  6 V 2.46-2.63, 2 Al 2.63
V 0.5000 0.9231 0.8462  6 V 2.46-2.63, 2 Al 2.63
V 0.0000 0.2667 0.5334  2 V 2.33, 2 Cr 2.43
Cr 0.5000 0.5000 0.0000  8 V 2.53-2.62
Cr 0.5000 0.6578 0.3156  4 V 2.43-2.47, 4 Al 2.63
Cr 0.5000 0.3422 0.6844  4 V 2.43-2.47, 4 Al 2.63

## Properties
E_form, kcal/mol of atoms: 2.79
Space-group type: Cmmm, No. 65

- What is the formula in the second record?
  DyHg3I9